1.
# K2InSbS4 PBE optimized geometry
# Space-group type: Pmn2_1, No. 31
# Mass density (Mg/m³): 2.8
# ΔE_f (raw) (eV/atom): -0.7559
# N(E_F) (states/eV/atom): 0.000
data_K2InSbS4
_chemical_formula_sum 'K4 In2 Sb2 S8'
_cell_length_a 6.462
_cell_length_b 8.480
_cell_length_c 9.606
_cell_angle_alpha 90.00
_cell_angle_beta 90.00
_cell_angle_gamma 90.00
_space_group_name_H-M_alt 'P 1'
_space_group_IT_number 1
loop_
_space_group_symop_operation_xyz
'x,y,z'
loop_
_atom_site_label
_atom_site_type_symbol
_atom_site_fract_x
_atom_site_fract_y
_atom_site_fract_z
S1 S 0.942 0.285 0.780
S2 S 0.358 0.144 0.500
S3 S 0.883 0.912 0.500
S4 S 0.383 0.088 0.000
S5 S 0.942 0.285 0.220
S6 S 0.442 0.715 0.720
S7 S 0.858 0.856 0.000
S8 S 0.442 0.715 0.280
K1 K 0.453 0.336 0.764
K2 K 0.453 0.336 0.236
K3 K 0.953 0.664 0.264
K4 K 0.953 0.664 0.736
In1 In 0.488 0.863 0.500
In2 In 0.988 0.137 0.000
Sb1 Sb 0.980 0.188 0.500
Sb2 Sb 0.480 0.812 0.000

=====

2.
# K3Sc2InS6 PBE optimized geometry
# Space-group type: C2/m, No. 12
# Mass density (Mg/m³): 3.0
# ΔE_f (raw) (eV/atom): -1.4521
# N(E_F) (states/eV/atom): 0.000
data_K3Sc2InS6
_chemical_formula_sum 'K3 Sc2 In1 S6'
_cell_length_a 6.714
_cell_length_b 6.714
_cell_length_c 7.649
_cell_angle_alpha 98.41
_cell_angle_beta 98.41
_cell_angle_gamma 120.00
_space_group_name_H-M_alt 'P 1'
_space_group_IT_number 1
loop_
_space_group_symop_operation_xyz
'x,y,z'
loop_
_atom_site_label
_atom_site_type_symbol
_atom_site_fract_x
_atom_site_fract_y
_atom_site_fract_z
S1 S 0.596 0.935 0.806
S2 S 0.404 0.065 0.194
S3 S 0.065 0.404 0.194
S4 S 0.935 0.596 0.806
S5 S 0.274 0.274 0.806
S6 S 0.726 0.726 0.194
K1 K 0.500 0.500 0.500
K2 K 0.835 0.165 0.500
K3 K 0.165 0.835 0.500
In1 In 0.000 0.000 0.000
Sc1 Sc 0.667 0.333 0.000
Sc2 Sc 0.333 0.667 0.000

=====

3.
# K2ScInS4 PBE optimized geometry
# Space-group type: Imma, No. 74
# Mass density (Mg/m³): 3.2
# ΔE_f (raw) (eV/atom): -1.2497
data_K2ScInS4
_chemical_formula_sum 'K4 Sc2 In2 S8'
_cell_length_a 8.144
_cell_length_b 8.144
_cell_length_c 8.023
_cell_angle_alpha 119.51
_cell_angle_beta 119.51
_cell_angle_gamma 90.61
_space_group_name_H-M_alt 'P 1'
_space_group_IT_number 1
loop_
_space_group_symop_operation_xyz
'x,y,z'
loop_
_atom_site_label
_atom_site_type_symbol
_atom_site_fract_x
_atom_site_fract_y
_atom_site_fract_z
K1 K 0.500 0.000 0.500
K2 K 0.500 0.500 0.000
K3 K 0.500 0.000 0.000
K4 K 0.000 0.000 0.500
S1 S 0.225 0.699 0.462
S2 S 0.231 0.269 0.469
S3 S 0.199 0.725 0.962
S4 S 0.231 0.269 0.031
S5 S 0.769 0.731 0.531
S6 S 0.801 0.275 0.038
S7 S 0.775 0.301 0.538
S8 S 0.769 0.731 0.969
Sc1 Sc 0.000 0.500 0.000
Sc2 Sc 0.000 0.500 0.500
In1 In 0.000 0.000 0.000
In2 In 0.500 0.500 0.500

=====

4.
# K3Sc3InS8 PBE optimized geometry
# Space-group type: C2/m, No. 12
# Mass density (Mg/m³): 2.8
# ΔE_f (raw) (eV/atom): -1.4414
# N(E_F) (states/eV/atom): 0.432
data_K3Sc3InS8
_chemical_formula_sum 'K3 Sc3 In1 S8'
_cell_length_a 7.552
_cell_length_b 7.569
_cell_length_c 8.689
_cell_angle_alpha 115.91
_cell_angle_beta 89.99
_cell_angle_gamma 119.96
_space_group_name_H-M_alt 'P 1'
_space_group_IT_number 1
loop_
_space_group_symop_operation_xyz
'x,y,z'
loop_
_atom_site_label
_atom_site_type_symbol
_atom_site_fract_x
_atom_site_fract_y
_atom_site_fract_z
K1 K 0.000 0.000 0.000
K2 K 0.500 0.500 0.000
K3 K 0.000 0.500 0.000
S1 S 0.731 0.461 0.692
S2 S 0.269 0.539 0.308
S3 S 0.765 0.042 0.306
S4 S 0.236 0.471 0.694
S5 S 0.278 0.042 0.306
S6 S 0.722 0.958 0.694
S7 S 0.235 0.958 0.694
S8 S 0.764 0.529 0.306
Sc1 Sc 0.500 0.500 0.500
Sc2 Sc 0.500 0.000 0.500
Sc3 Sc 0.000 0.500 0.500
In1 In 0.000 0.000 0.500

=====

5.
# K2InSiS4 PBE optimized geometry
# Space-group type: I-4, No. 82
# Mass density (Mg/m³): 2.5
# ΔE_f (raw) (eV/atom): -0.8485
# N(E_F) (states/eV/atom): 0.522
data_K2InSiS4
_chemical_formula_sum 'K2 In1 Si1 S4'
_cell_length_a 6.702
_cell_length_b 6.702
_cell_length_c 6.702
_cell_angle_alpha 103.16
_cell_angle_beta 112.71
_cell_angle_gamma 112.71
_space_group_name_H-M_alt 'P 1'
_space_group_IT_number 1
loop_
_space_group_symop_operation_xyz
'x,y,z'
loop_
_atom_site_label
_atom_site_type_symbol
_atom_site_fract_x
_atom_site_fract_y
_atom_site_fract_z
K1 K 0.000 0.000 0.000
K2 K 0.500 0.750 0.250
S1 S 0.962 0.513 0.170
S2 S 0.038 0.209 0.552
S3 S 0.657 0.448 0.487
S4 S 0.343 0.830 0.791
Si1 Si 0.000 0.500 0.500
In1 In 0.500 0.250 0.750

=====

6.
# KInSi2S6 PBE optimized geometry
# Space-group type: C2/c, No. 15
# Mass density (Mg/m³): 2.5
# ΔE_f (raw) (eV/atom): -0.6436
# N(E_F) (states/eV/atom): 0.000
data_KInSi2S6
_chemical_formula_sum 'K2 In2 Si4 S12'
_cell_length_a 6.484
_cell_length_b 9.270
_cell_length_c 9.270
_cell_angle_alpha 95.21
_cell_angle_beta 78.23
_cell_angle_gamma 78.23
_space_group_name_H-M_alt 'P 1'
_space_group_IT_number 1
loop_
_space_group_symop_operation_xyz
'x,y,z'
loop_
_atom_site_label
_atom_site_type_symbol
_atom_site_fract_x
_atom_site_fract_y
_atom_site_fract_z
In1 In 0.750 0.756 0.244
In2 In 0.250 0.244 0.756
S1 S 0.770 0.035 0.211
S2 S 0.470 0.408 0.314
S3 S 0.607 0.160 0.588
S4 S 0.030 0.686 0.592
S5 S 0.270 0.211 0.035
S6 S 0.230 0.965 0.789
S7 S 0.730 0.789 0.965
S8 S 0.107 0.588 0.160
S9 S 0.530 0.592 0.686
S10 S 0.970 0.314 0.408
S11 S 0.393 0.840 0.412
S12 S 0.893 0.412 0.840
Si1 Si 0.189 0.372 0.226
Si2 Si 0.311 0.774 0.628
Si3 Si 0.689 0.226 0.372
Si4 Si 0.811 0.628 0.774
K1 K 0.250 0.892 0.108
K2 K 0.750 0.108 0.892

=====

no.,size of the total moment (μB per formula unit)
1,0.00
2,0.00
3,0.00
4,0.00
5,0.83
6,0.00